[1]
A relaxed structure of DyTmMgTi, computed with PBE.

Cell lengths 7.387, 7.387, 7.387 Å; angles 90.00, 90.00, 90.00 degrees
Positions (direct):
Dy1 0.000 0.000 0.000
Dy2 0.000 0.500 0.500
Dy3 0.500 0.000 0.500
Dy4 0.500 0.500 0.000
Tm1 0.000 0.000 0.500
Tm2 0.000 0.500 0.000
Tm3 0.500 0.000 0.000
Tm4 0.500 0.500 0.500
Mg1 0.250 0.250 0.250
Mg2 0.250 0.750 0.750
Mg3 0.750 0.250 0.750
Mg4 0.750 0.750 0.250
Ti1 0.250 0.250 0.750
Ti2 0.250 0.750 0.250
Ti3 0.750 0.250 0.250
Ti4 0.750 0.750 0.750

VASP energy   -4.495 eV per atom
Symmetry   F-43m
Mass density   6.651 g/cm³
V   403.04 Å³ per cell
Calculated formation energy   146 meV/atom
Crystal system   cubic

[2]
A relaxed structure of Sn3RhS, computed with PBE.

Cell lengths 5.098, 5.098, 5.098 Å; angles 90.00, 90.00, 90.00 degrees
Positions (direct):
Sn1 0.000 0.000 0.500
Sn2 0.000 0.500 0.000
Sn3 0.500 0.000 0.000
Rh1 0.000 0.000 0.000
S1 0.500 0.500 0.500

Relative energy among the computed polymorphs   0.0 kJ/mol of atoms
VASP energy   -4.757 eV per atom
Symmetry   Pm-3m
Mass density   6.156 g/cm³
Uncorrected formation energy   -0.3 eV/f.u.
V   132.48 Å³ per cell
Crystal system   cubic

[3]
A relaxed structure of Ga2HgBr, computed with PBE.

Cell lengths 3.732, 3.732, 26.143 Å; angles 90.00, 90.00, 120.00 degrees
Positions (direct):
Ga1 0.000 0.000 0.000
Ga2 0.000 0.000 0.168
Ga3 0.333 0.667 0.667
Ga4 0.333 0.667 0.835
Ga5 0.667 0.333 0.333
Ga6 0.667 0.333 0.501
Hg1 0.000 0.000 0.584
Hg2 0.333 0.667 0.251
Hg3 0.667 0.333 0.918
Br1 0.000 0.000 0.759
Br2 0.333 0.667 0.426
Br3 0.667 0.333 0.093

Relative energy among the computed polymorphs   0.9 kJ/mol of atoms
VASP energy   -2.125 eV per atom
Symmetry   R3m
Mass density   6.635 g/cm³
Uncorrected formation energy   -0.5 eV/f.u.
V   315.32 Å³ per cell
Crystal system   trigonal

[4]
A relaxed structure of Ti4AlN, computed with PBE.

Cell lengths 10.002, 10.002, 5.705 Å; angles 90.00, 90.00, 162.39 degrees
Positions (direct):
Ti1 0.000 0.000 0.000
Ti2 0.000 0.000 0.500
Ti3 0.193 0.807 0.506
Ti4 0.193 0.807 0.994
Ti5 0.402 0.598 0.250
Ti6 0.598 0.402 0.750
Ti7 0.807 0.193 0.006
Ti8 0.807 0.193 0.494
Al1 0.403 0.597 0.750
Al2 0.597 0.403 0.250
N1 0.287 0.713 0.250
N2 0.713 0.287 0.750

Relative energy among the computed polymorphs   0.0 kJ/mol of atoms
VASP energy   -7.884 eV per atom
Symmetry   Cmcm
Mass density   4.471 g/cm³
Uncorrected formation energy   -3.7 eV/f.u.
V   172.67 Å³ per cell
Crystal system   orthorhombic

[5]
A relaxed structure of KLiPu2Se4, computed with PBE.

Cell lengths 7.332, 7.332, 14.620 Å; angles 90.00, 90.00, 146.33 degrees
Positions (direct):
K1 0.109 0.891 0.750
K2 0.891 0.109 0.250
Li1 0.163 0.837 0.250
Li2 0.837 0.163 0.750
Pu1 0.367 0.633 0.561
Pu2 0.367 0.633 0.939
Pu3 0.633 0.367 0.061
Pu4 0.633 0.367 0.439
Se1 0.000 0.000 0.000
Se2 0.000 0.000 0.500
Se3 0.263 0.737 0.109
Se4 0.263 0.737 0.391
Se5 0.430 0.570 0.750
Se6 0.570 0.430 0.250
Se7 0.737 0.263 0.609
Se8 0.737 0.263 0.891

VASP energy   -7.140 eV per atom
Symmetry   Cmcm
Mass density   6.478 g/cm³
Uncorrected formation energy   -11.5 eV/f.u.
V   435.72 Å³ per cell
Crystal system   orthorhombic

[6]
A relaxed structure of VGa2Si, computed with PBE.

Cell lengths 7.233, 7.233, 5.071 Å; angles 90.00, 90.00, 90.00 degrees
Positions (direct):
V1 0.000 0.000 0.000
V2 0.000 0.500 0.250
V3 0.500 0.000 0.750
V4 0.500 0.500 0.500
Ga1 0.229 0.250 0.625
Ga2 0.250 0.729 0.875
Ga3 0.250 0.771 0.375
Ga4 0.271 0.250 0.125
Ga5 0.729 0.750 0.125
Ga6 0.750 0.229 0.375
Ga7 0.750 0.271 0.875
Ga8 0.771 0.750 0.625
Si1 0.000 0.000 0.500
Si2 0.000 0.500 0.750
Si3 0.500 0.000 0.250
Si4 0.500 0.500 0.000

Relative energy among the computed polymorphs   0.0 kJ/mol of atoms
VASP energy   -4.842 eV per atom
Symmetry   I-42d
Mass density   5.469 g/cm³
Uncorrected formation energy   1.2 eV/f.u.
V   265.32 Å³ per cell
Crystal system   tetragonal

[7]
A relaxed structure of AcLa2I, computed with PBE.

Cell lengths 3.979, 3.979, 33.347 Å; angles 90.00, 90.00, 120.00 degrees
Positions (direct):
Ac1 0.000 0.000 0.000
Ac2 0.333 0.667 0.667
Ac3 0.667 0.333 0.333
La1 0.000 0.000 0.242
La2 0.000 0.000 0.425
La3 0.333 0.667 0.092
La4 0.333 0.667 0.908
La5 0.667 0.333 0.575
La6 0.667 0.333 0.758
I1 0.000 0.000 0.833
I2 0.333 0.667 0.500
I3 0.667 0.333 0.167

Relative energy among the computed polymorphs   0.0 kJ/mol of atoms
VASP energy   -4.322 eV per atom
Symmetry   R3m
Mass density   6.882 g/cm³
Uncorrected formation energy   -1.8 eV/f.u.
V   457.31 Å³ per cell
Crystal system   trigonal

[8]
A relaxed structure of PuIn3Hg3, computed with PBE.

Cell lengths 9.042, 9.042, 5.258 Å; angles 90.00, 90.00, 120.00 degrees
Positions (direct):
Pu1 0.333 0.667 0.250
Pu2 0.667 0.333 0.750
In1 0.093 0.596 0.750
In2 0.404 0.496 0.750
In3 0.496 0.093 0.250
In4 0.504 0.907 0.750
In5 0.596 0.504 0.250
In6 0.907 0.404 0.250
Hg1 0.094 0.843 0.250
Hg2 0.157 0.251 0.250
Hg3 0.251 0.094 0.750
Hg4 0.749 0.906 0.250
Hg5 0.843 0.749 0.750
Hg6 0.906 0.157 0.750

Relative energy among the computed polymorphs   0.0 kJ/mol of atoms
VASP energy   -3.380 eV per atom
Symmetry   P6_3/m
Mass density   10.619 g/cm³
V   372.25 Å³ per cell
Calculated formation energy   -29 meV/atom
Crystal system   hexagonal